Model i:
MoHSN2 after structural relaxation, computed with GGA-PBE.

a b c (Å): 3.8765 3.8765 2.9004
angles (deg): 90.00 90.00 90.00
Space group P4/mmm (No. 123)
Unique sites:
Mo: 0.0000 0.0000 0.0000
H: 0.5000 0.5000 0.5000
S: 0.5000 0.5000 0.0000
N: 0.0000 0.5000 0.5000


Model ii:
MoHSN2 after structural relaxation, computed with GGA-PBE.

a b c (Å): 3.8466 3.8466 5.0172
angles (deg): 90.00 90.00 90.00
Space group P4/mmm (No. 123)
Unique sites:
Mo: 0.0000 0.0000 0.0000
H: 0.5000 0.5000 0.5000
S: 0.0000 0.0000 0.5000
N: 0.0000 0.5000 0.0000


Stability ranking, top entry: model ii; the second entry is 0.546 eV/atom less favorable.


Model i:
TeMoHN2 after structural relaxation, computed with GGA-PBE.

a b c (Å): 3.8423 3.8423 5.6450
angles (deg): 90.00 90.00 90.00
Space group P4/mmm (No. 123)
Unique sites:
Te: 0.0000 0.0000 0.0000
Mo: 0.0000 0.0000 0.5000
H: 0.5000 0.5000 0.0000
N: 0.0000 0.5000 0.5000


Model ii:
TeMoHN2 after structural relaxation, computed with GGA-PBE.

a b c (Å): 4.1163 4.1163 3.2602
angles (deg): 90.00 90.00 90.00
Space group P4/mmm (No. 123)
Unique sites:
Te: 0.0000 0.0000 0.0000
Mo: 0.5000 0.5000 0.0000
H: 0.0000 0.0000 0.5000
N: 0.0000 0.5000 0.5000


Stability ranking, top entry: model i; the second entry is 1.067 eV/atom less favorable.


Model i:
NaMo3H after structural relaxation, computed with GGA-PBE.

a b c (Å): 4.5429 4.5429 4.5429
angles (deg): 90.00 90.00 90.00
Space group Pm-3m (No. 221)
Unique sites:
Na: 0.0000 0.0000 0.0000
Mo: 0.0000 0.0000 0.5000
H: 0.5000 0.5000 0.5000


Model ii:
NaMo3H after structural relaxation, computed with GGA-PBE.

a b c (Å): 4.0924 4.0924 4.0924
angles (deg): 90.00 90.00 90.00
Space group Pm-3m (No. 221)
Unique sites:
Na: 0.0000 0.0000 0.0000
Mo: 0.0000 0.5000 0.5000
H: 0.5000 0.5000 0.5000


Stability ranking, top entry: model ii; the second entry is 2.618 eV/atom less favorable.


Model i:
Nb2MoH after structural relaxation, computed with GGA-PBE.

a b c (Å): 6.0178 6.0178 6.4224
angles (deg): 90.00 90.00 90.00
Space group I-42d (No. 122)
Unique sites:
Nb: 0.1669 0.2500 0.1250
Mo: 0.0000 0.0000 0.5000
H: 0.0000 0.0000 0.0000


Model ii:
Nb2MoH after structural relaxation, computed with GGA-PBE.

a b c (Å): 3.0962 3.0962 6.0095
angles (deg): 90.00 90.00 90.00
Space group P4/mmm (No. 123)
Unique sites:
Nb: 0.0000 0.0000 0.2259
Mo: 0.5000 0.5000 0.5000
H: 0.5000 0.5000 0.0000


Stability ranking, top entry: model i; the second entry is 0.075 eV/atom less favorable.


Model i:
Nb2MoH after structural relaxation, computed with GGA-PBE.

a b c (Å): 6.2437 6.2437 6.2437
angles (deg): 90.00 90.00 90.00
Space group Fm-3m (No. 225)
Unique sites:
Nb: 0.2500 0.2500 0.2500
Mo: 0.0000 0.0000 0.0000
H: 0.0000 0.0000 0.5000


Model ii:
Nb2MoH after structural relaxation, computed with GGA-PBE.

a b c (Å): 3.1034 3.1034 19.9837
angles (deg): 90.00 90.00 120.00
Space group R-3m (No. 166, hexagonal axes)
Unique sites:
Nb: 0.0000 0.0000 0.2318
Mo: 0.0000 0.0000 0.0000
H: 0.0000 0.0000 0.5000


Stability ranking, top entry: model ii; the second entry is 0.544 eV/atom less favorable.


Model i:
NbMoH3 after structural relaxation, computed with GGA-PBE.

a b c (Å): 3.5130 3.5130 3.5130
angles (deg): 90.00 90.00 90.00
Space group Pm-3m (No. 221)
Unique sites:
Nb: 0.0000 0.0000 0.0000
Mo: 0.5000 0.5000 0.5000
H: 0.0000 0.5000 0.5000


Model ii:
NbMoH3 after structural relaxation, computed with GGA-PBE.

a b c (Å): 3.5418 3.5418 3.5418
angles (deg): 90.00 90.00 90.00
Space group Pm-3m (No. 221)
Unique sites:
Nb: 0.0000 0.0000 0.0000
Mo: 0.5000 0.5000 0.5000
H: 0.0000 0.0000 0.5000


Stability ranking, top entry: model i; the second entry is 0.178 eV/atom less favorable.